No. 1
This record from the Alexandria database describes a relaxed CaLa5Pm2Nd crystal. The functional is PBE-GGA.

Unit cell a=9.463 b=9.463 c=10.079 alpha=118.00 beta=118.00 gamma=90.00
Sites, in units of the cell vectors:
Ca 0.250 0.750 0.500
Ca 0.750 0.250 0.500
La 0.922 0.422 0.258
La 0.664 0.164 0.742
La 0.078 0.578 0.742
La 0.164 0.078 0.742
La 0.578 0.664 0.742
La 0.836 0.922 0.258
La 0.422 0.336 0.258
La 0.336 0.836 0.258
La 0.500 0.500 0.000
La 0.000 0.000 0.000
Pm 0.111 0.389 0.000
Pm 0.611 0.111 0.000
Pm 0.389 0.889 0.000
Pm 0.889 0.611 0.000
Nd 0.250 0.250 0.500
Nd 0.750 0.750 0.500

Results
Fermi-level density of states, states/eV/atom: 1.647
Total moment, μB per formula unit: 0.00
Symmetry: I4/mcm, No. 140
ΔH_f (0 K), meV per atom: 254


No. 2
This record from the Alexandria database describes a relaxed CaLa2Pm2Nd4 crystal. The functional is PBE-GGA.

Unit cell a=3.719 b=9.905 c=10.014 alpha=115.31 beta=90.00 gamma=100.82
Sites, in units of the cell vectors:
Ca 0.000 0.000 0.000
La 0.330 0.659 0.002
La 0.670 0.341 0.998
Pm 0.852 0.704 0.334
Pm 0.148 0.296 0.666
Nd 0.813 0.626 0.661
Nd 0.187 0.374 0.339
Nd 0.519 0.039 0.343
Nd 0.481 0.961 0.657

Results
Fermi-level density of states, states/eV/atom: 1.477
Total moment, μB per formula unit: 0.00
Symmetry: C2/m, No. 12
ΔH_f (0 K), meV per atom: 26


No. 3
This record from the Alexandria database describes a relaxed CaLa2Pm3Nd6 crystal. The functional is PBE-GGA.

Unit cell a=6.414 b=6.414 c=12.242 alpha=95.04 beta=95.04 gamma=120.04
Sites, in units of the cell vectors:
Ca 0.000 0.000 0.000
La 0.333 0.667 0.000
La 0.667 0.333 0.000
Pm 0.166 0.834 0.500
Pm 0.834 0.166 0.500
Pm 0.500 0.500 0.500
Nd 0.915 0.577 0.745
Nd 0.748 0.748 0.255
Nd 0.085 0.423 0.255
Nd 0.577 0.915 0.745
Nd 0.252 0.252 0.745
Nd 0.423 0.085 0.255

Results
Fermi-level density of states, states/eV/atom: 1.495
Total moment, μB per formula unit: 0.00
Symmetry: C2/m, No. 12
ΔH_f (0 K), meV per atom: 31


No. 4
This record from the Alexandria database describes a relaxed CaLa6Pm2Nd crystal. The functional is PBE-GGA.

Unit cell a=9.513 b=9.181 c=9.181 alpha=114.23 beta=88.89 gamma=88.89
Sites, in units of the cell vectors:
Ca 0.250 0.922 0.078
Ca 0.750 0.078 0.922
La 0.103 0.066 0.783
La 0.397 0.217 0.934
La 0.897 0.934 0.217
La 0.603 0.783 0.066
La 0.325 0.039 0.485
La 0.175 0.515 0.961
La 0.675 0.961 0.515
La 0.825 0.485 0.039
La 0.089 0.730 0.426
La 0.411 0.574 0.270
La 0.911 0.270 0.574
La 0.589 0.426 0.730
Pm 0.434 0.791 0.699
Pm 0.066 0.301 0.209
Pm 0.566 0.209 0.301
Pm 0.934 0.699 0.791
Nd 0.250 0.433 0.567
Nd 0.750 0.567 0.433

Results
Fermi-level density of states, states/eV/atom: 1.288
Total moment, μB per formula unit: 0.00
Symmetry: C2/c, No. 15
ΔH_f (0 K), meV per atom: 118


No. 5
This record from the Alexandria database describes a relaxed CaLaPmNd crystal. The functional is PBE-GGA.

Unit cell a=3.722 b=3.722 c=12.344 alpha=90.00 beta=90.00 gamma=120.00
Sites, in units of the cell vectors:
Ca 0.667 0.333 0.671
La 0.333 0.667 0.937
Pm 0.667 0.333 0.178
Nd 0.000 0.000 0.413

Results
Fermi-level density of states, states/eV/atom: 1.502
Total moment, μB per formula unit: 0.00
Symmetry: P3m1, No. 156
ΔH_f (0 K), meV per atom: 34
Excess energy over the best structure of this formula in the dataset, eV/f.u.: 0.00


No. 6
This record from the Alexandria database describes a relaxed CaLa2Pr2Nd2 crystal. The functional is PBE-GGA.

Unit cell a=5.309 b=6.468 c=8.323 alpha=97.92 beta=90.00 gamma=114.23
Sites, in units of the cell vectors:
Ca 0.000 0.000 0.000
La 0.144 0.288 0.433
La 0.856 0.712 0.567
Pr 0.717 0.434 0.146
Pr 0.283 0.566 0.854
Nd 0.575 0.149 0.706
Nd 0.425 0.851 0.294

Results
Fermi-level density of states, states/eV/atom: 1.738
Total moment, μB per formula unit: 0.00
Symmetry: C2/m, No. 12
ΔH_f (0 K), meV per atom: 39


No. 7
This record from the Alexandria database describes a relaxed CaLa2Pr2Nd4 crystal. The functional is PBE-GGA.

Unit cell a=3.733 b=9.935 c=10.062 alpha=115.20 beta=90.00 gamma=100.83
Sites, in units of the cell vectors:
Ca 0.000 0.000 0.000
La 0.330 0.659 0.001
La 0.670 0.341 0.999
Pr 0.852 0.704 0.334
Pr 0.148 0.296 0.666
Nd 0.813 0.627 0.662
Nd 0.187 0.373 0.338
Nd 0.519 0.039 0.341
Nd 0.481 0.961 0.659

Results
Fermi-level density of states, states/eV/atom: 1.503
Total moment, μB per formula unit: 0.00
Symmetry: C2/m, No. 12
ΔH_f (0 K), meV per atom: 28


No. 8
This record from the Alexandria database describes a relaxed CaLaPr5Nd2 crystal. The functional is PBE-GGA.

Unit cell a=5.608 b=11.531 c=10.690 alpha=90.00 beta=90.00 gamma=104.08
Sites, in units of the cell vectors:
Ca 0.601 0.203 0.008
Ca 0.399 0.797 0.508
La 0.777 0.555 0.509
La 0.223 0.445 0.009
Pr 0.385 0.769 0.008
Pr 0.721 0.443 0.812
Pr 0.500 0.000 0.758
Pr 0.279 0.558 0.705
Pr 0.001 0.001 0.508
Pr 0.615 0.231 0.508
Pr 0.279 0.557 0.312
Pr 0.500 0.000 0.258
Pr 0.721 0.442 0.205
Pr 0.999 0.999 0.008
Nd 0.885 0.769 0.773
Nd 0.116 0.232 0.743
Nd 0.115 0.231 0.273
Nd 0.884 0.768 0.243

Results
Fermi-level density of states, states/eV/atom: 1.516
Total moment, μB per formula unit: 0.00
Symmetry: Cmc2_1, No. 36
ΔH_f (0 K), meV per atom: 147